Computed, not measured: a relaxed Ho4Pt2C crystal at the PBE level of DFT.

Unit cell a=7.898 b=7.898 c=7.898 alpha=145.19 beta=145.19 gamma=50.05
Positions (direct):
Ho  0.000  0.500  0.500
Ho  0.173  0.173  0.000
Ho  0.500  0.000  0.500
Ho  0.827  0.827  0.000
Pt  0.367  0.367  0.000
Pt  0.633  0.633  0.000
C  0.000  0.000  0.000

Values from the calculation:
E_form: -0.699 eV/atom
DOS(E_F): 4.74 states/eV per cell
Space-group type: I4/mmm, No. 139

=====

Computed, not measured: a relaxed Ho12Pt3C5 crystal at the PBE level of DFT.

Unit cell a=13.328 b=13.328 c=13.328 alpha=109.47 beta=109.47 gamma=109.47
Positions (direct):
Ho  0.026  0.206  0.121
Ho  0.026  0.320  0.905
Ho  0.085  0.706  0.680
Ho  0.085  0.879  0.405
Ho  0.095  0.621  0.415
Ho  0.095  0.974  0.680
Ho  0.121  0.026  0.206
Ho  0.121  0.595  0.915
Ho  0.180  0.206  0.585
Ho  0.180  0.474  0.595
Ho  0.206  0.121  0.026
Ho  0.206  0.585  0.180
Ho  0.294  0.320  0.915
Ho  0.294  0.474  0.379
Ho  0.320  0.905  0.026
Ho  0.320  0.915  0.294
Ho  0.379  0.294  0.474
Ho  0.379  0.585  0.905
Ho  0.405  0.085  0.879
Ho  0.405  0.820  0.526
Ho  0.415  0.095  0.621
Ho  0.415  0.820  0.794
Ho  0.474  0.379  0.294
Ho  0.474  0.595  0.180
Ho  0.526  0.405  0.820
Ho  0.526  0.621  0.706
Ho  0.585  0.180  0.206
Ho  0.585  0.905  0.379
Ho  0.595  0.180  0.474
Ho  0.595  0.915  0.121
Ho  0.621  0.415  0.095
Ho  0.621  0.706  0.526
Ho  0.680  0.085  0.706
Ho  0.680  0.095  0.974
Ho  0.706  0.526  0.621
Ho  0.706  0.680  0.085
Ho  0.794  0.415  0.820
Ho  0.794  0.879  0.974
Ho  0.820  0.526  0.405
Ho  0.820  0.794  0.415
Ho  0.879  0.405  0.085
Ho  0.879  0.974  0.794
Ho  0.905  0.026  0.320
Ho  0.905  0.379  0.585
Ho  0.915  0.121  0.595
Ho  0.915  0.294  0.320
Ho  0.974  0.680  0.095
Ho  0.974  0.794  0.879
Pt  0.125  0.250  0.375
Pt  0.125  0.375  0.750
Pt  0.250  0.375  0.125
Pt  0.250  0.875  0.625
Pt  0.375  0.125  0.250
Pt  0.375  0.750  0.125
Pt  0.625  0.250  0.875
Pt  0.625  0.875  0.750
Pt  0.750  0.125  0.375
Pt  0.750  0.625  0.875
Pt  0.875  0.625  0.250
Pt  0.875  0.750  0.625
C  0.000  0.000  0.000
C  0.000  0.000  0.500
C  0.000  0.500  0.000
C  0.000  0.500  0.500
C  0.125  0.750  0.875
C  0.125  0.875  0.250
C  0.250  0.125  0.875
C  0.250  0.625  0.375
C  0.375  0.250  0.625
C  0.375  0.625  0.750
C  0.500  0.000  0.000
C  0.500  0.000  0.500
C  0.500  0.500  0.000
C  0.500  0.500  0.500
C  0.625  0.375  0.250
C  0.625  0.750  0.375
C  0.750  0.375  0.625
C  0.750  0.875  0.125
C  0.875  0.125  0.750
C  0.875  0.250  0.125

Values from the calculation:
E_form: -0.438 eV/atom
DOS(E_F): 66.81 states/eV per cell
Space-group type: Ia-3d, No. 230

=====

Computed, not measured: a relaxed HoPtC crystal at the PBE level of DFT.

Unit cell a=3.678 b=3.660 c=7.994 alpha=90.00 beta=103.02 gamma=90.00
Positions (direct):
Ho  0.169  0.250  0.336
Ho  0.831  0.750  0.664
Pt  0.440  0.250  0.884
Pt  0.560  0.750  0.116
C  0.316  0.250  0.637
C  0.684  0.750  0.363

Values from the calculation:
E_form: -0.290 eV/atom
DOS(E_F): 2.29 states/eV per cell
Space-group type: P2_1/m, No. 11

=====

Computed, not measured: a relaxed Ho6Pt2C crystal at the PBE level of DFT.

Unit cell a=6.540 b=7.045 c=11.368 alpha=90.00 beta=123.67 gamma=90.00
Positions (direct):
Ho  0.130  0.034  0.243
Ho  0.130  0.466  0.743
Ho  0.237  0.700  0.058
Ho  0.237  0.800  0.558
Ho  0.361  0.180  0.056
Ho  0.361  0.320  0.556
Ho  0.639  0.680  0.444
Ho  0.639  0.820  0.944
Ho  0.763  0.200  0.442
Ho  0.763  0.300  0.942
Ho  0.870  0.534  0.257
Ho  0.870  0.966  0.757
Pt  0.290  0.089  0.754
Pt  0.290  0.411  0.254
Pt  0.710  0.589  0.746
Pt  0.710  0.911  0.246
C  0.000  0.000  0.000
C  0.000  0.500  0.500

Values from the calculation:
E_form: -0.737 eV/atom
DOS(E_F): 16.42 states/eV per cell
Space-group type: P2_1/c, No. 14

=====

Computed, not measured: a relaxed HoPu3C crystal at the PBE level of DFT.

Unit cell a=4.929 b=4.929 c=4.929 alpha=90.00 beta=90.00 gamma=90.00
Positions (direct):
Ho  0.000  0.000  0.000
Pu  0.000  0.500  0.500
Pu  0.500  0.000  0.500
Pu  0.500  0.500  0.000
C  0.500  0.500  0.500

Values from the calculation:
E_form: 0.208 eV/atom
DOS(E_F): 16.35 states/eV per cell
Space-group type: Pm-3m, No. 221

=====

Computed, not measured: a relaxed HoPuC crystal at the PBE level of DFT.

Unit cell a=6.313 b=6.313 c=6.313 alpha=151.17 beta=151.17 gamma=41.23
Positions (direct):
Ho  0.000  0.000  0.000
Pu  0.230  0.230  0.000
C  0.621  0.621  0.000

Values from the calculation:
E_form: 0.250 eV/atom
DOS(E_F): 5.18 states/eV per cell
Space-group type: I4mm, No. 107
ΔE to the lowest computed polymorph: 344.3 meV per atom

=====

Computed, not measured: a relaxed HoPuC2 crystal at the PBE level of DFT.

Unit cell a=6.163 b=6.163 c=6.163 alpha=33.03 beta=33.03 gamma=33.03
Positions (direct):
Ho  0.000  0.000  0.000
Pu  0.169  0.169  0.169
C  0.577  0.577  0.577
C  0.762  0.762  0.762

Values from the calculation:
E_form: 0.087 eV/atom
DOS(E_F): 7.88 states/eV per cell
Space-group type: R3m, No. 160
ΔE to the lowest computed polymorph: 137.1 meV per atom

=====

Computed, not measured: a relaxed HoPuC crystal at the PBE level of DFT.

Unit cell a=9.856 b=9.856 c=3.377 alpha=90.00 beta=90.00 gamma=160.36
Positions (direct):
Ho  0.096  0.904  0.750
Ho  0.904  0.096  0.250
Pu  0.274  0.726  0.750
Pu  0.726  0.274  0.250
C  0.380  0.620  0.750
C  0.620  0.380  0.250

Values from the calculation:
E_form: 0.100 eV/atom
DOS(E_F): 5.70 states/eV per cell
Space-group type: Cmcm, No. 63
ΔE to the lowest computed polymorph: 194.7 meV per atom

=====

Computed, not measured: a relaxed HoPuC crystal at the PBE level of DFT.

Unit cell a=3.457 b=3.457 c=6.263 alpha=90.00 beta=90.00 gamma=120.00
Positions (direct):
Ho  0.000  0.000  0.000
Pu  0.333  0.667  0.552
C  0.667  0.333  0.775

Values from the calculation:
E_form: -0.095 eV/atom
DOS(E_F): 7.85 states/eV per cell
Space-group type: P3m1, No. 156
ΔE to the lowest computed polymorph: 0.0 meV per atom

=====

Computed, not measured: a relaxed HoPuC crystal at the PBE level of DFT.

Unit cell a=4.316 b=4.316 c=4.316 alpha=60.00 beta=60.00 gamma=60.00
Positions (direct):
Ho  0.000  0.000  0.000
Pu  0.500  0.500  0.500
C  0.250  0.250  0.250

Values from the calculation:
E_form: 0.298 eV/atom
DOS(E_F): 4.80 states/eV per cell
Space-group type: F-43m, No. 216
ΔE to the lowest computed polymorph: 392.4 meV per atom

=====

Computed, not measured: a relaxed HoPuC2 crystal at the PBE level of DFT.

Unit cell a=6.037 b=6.037 c=6.037 alpha=34.27 beta=34.27 gamma=34.27
Positions (direct):
Ho  0.000  0.000  0.000
Pu  0.500  0.500  0.500
C  0.240  0.240  0.240
C  0.760  0.760  0.760

Values from the calculation:
E_form: -0.050 eV/atom
DOS(E_F): 8.39 states/eV per cell
Space-group type: R-3m, No. 166
ΔE to the lowest computed polymorph: 0.0 meV per atom

=====

Computed, not measured: a relaxed HoPu2C crystal at the PBE level of DFT.

Unit cell a=6.705 b=6.705 c=6.705 alpha=35.07 beta=35.07 gamma=35.07
Positions (direct):
Ho  0.000  0.000  0.000
Pu  0.151  0.151  0.151
Pu  0.849  0.849  0.849
C  0.500  0.500  0.500

Values from the calculation:
E_form: 0.633 eV/atom
DOS(E_F): 6.83 states/eV per cell
Space-group type: R-3m, No. 166
ΔE to the lowest computed polymorph: 403.7 meV per atom

=====

Computed, not measured: a relaxed HoPu2C crystal at the PBE level of DFT.

Unit cell a=3.159 b=3.159 c=8.626 alpha=90.00 beta=90.00 gamma=90.00
Positions (direct):
Ho  0.000  0.000  0.000
Pu  0.500  0.500  0.342
Pu  0.500  0.500  0.658
C  0.000  0.000  0.500

Values from the calculation:
E_form: 0.229 eV/atom
DOS(E_F): 9.81 states/eV per cell
Space-group type: P4/mmm, No. 123
ΔE to the lowest computed polymorph: 0.0 meV per atom

=====

Computed, not measured: a relaxed Ho2PuTc2C4 crystal at the PBE level of DFT.

Unit cell a=6.787 b=6.787 c=6.071 alpha=109.37 beta=109.37 gamma=29.24
Positions (direct):
Ho  0.135  0.135  0.032
Ho  0.865  0.865  0.968
Pu  0.000  0.000  0.500
Tc  0.323  0.323  0.508
Tc  0.677  0.677  0.492
C  0.228  0.228  0.729
C  0.472  0.472  0.762
C  0.528  0.528  0.238
C  0.772  0.772  0.271

Values from the calculation:
E_form: 0.004 eV/atom
DOS(E_F): 9.24 states/eV per cell
Space-group type: C2/m, No. 12

=====

Computed, not measured: a relaxed Ho2PuUC4 crystal at the PBE level of DFT.

Unit cell a=6.078 b=3.577 c=6.181 alpha=90.00 beta=110.11 gamma=90.00
Positions (direct):
Ho  0.000  0.000  0.000
Ho  0.000  0.500  0.500
Pu  0.500  0.000  0.500
U  0.500  0.500  0.000
C  0.279  0.500  0.255
C  0.282  0.000  0.771
C  0.718  0.000  0.229
C  0.721  0.500  0.745

Values from the calculation:
E_form: -0.178 eV/atom
DOS(E_F): 11.13 states/eV per cell
Space-group type: P2/m, No. 10

=====

Computed, not measured: a relaxed Ho2ReC crystal at the PBE level of DFT.

Unit cell a=8.644 b=8.644 c=8.644 alpha=21.96 beta=21.96 gamma=21.96
Positions (direct):
Ho  0.111  0.111  0.111
Ho  0.889  0.889  0.889
Re  0.000  0.000  0.000
C  0.500  0.500  0.500

Values from the calculation:
E_form: 0.654 eV/atom
DOS(E_F): 2.33 states/eV per cell
Space-group type: R-3m, No. 166

=====

Computed, not measured: a relaxed Ho3Re2C4 crystal at the PBE level of DFT.

Unit cell a=5.597 b=5.597 c=7.437 alpha=98.30 beta=98.30 gamma=33.41
Positions (direct):
Ho  0.000  0.000  0.000
Ho  0.384  0.384  0.600
Ho  0.616  0.616  0.400
Re  0.296  0.296  0.172
Re  0.704  0.704  0.828
C  0.135  0.135  0.652
C  0.340  0.340  0.909
C  0.660  0.660  0.091
C  0.865  0.865  0.348

Values from the calculation:
E_form: -0.070 eV/atom
DOS(E_F): 3.52 states/eV per cell
Space-group type: C2/m, No. 12

=====

Computed, not measured: a relaxed Ho2Re2Si2C crystal at the PBE level of DFT.

Unit cell a=5.809 b=5.809 c=6.920 alpha=124.66 beta=124.66 gamma=39.94
Positions (direct):
Ho  0.072  0.072  0.299
Ho  0.928  0.928  0.701
Re  0.293  0.293  0.908
Re  0.707  0.707  0.092
Si  0.359  0.359  0.321
Si  0.641  0.641  0.679
C  0.500  0.500  0.000

Values from the calculation:
DOS(E_F): 3.89 states/eV per cell
Formation energy without anion corrections: -0.621 eV/atom
Space-group type: C2/m, No. 12

=====

Computed, not measured: a relaxed Ho2ThReC4 crystal at the PBE level of DFT.

Unit cell a=6.325 b=6.325 c=12.138 alpha=90.00 beta=90.00 gamma=147.84
Positions (direct):
Ho  0.128  0.872  0.539
Ho  0.128  0.872  0.961
Ho  0.872  0.128  0.039
Ho  0.872  0.128  0.461
Th  0.408  0.592  0.750
Th  0.592  0.408  0.250
Re  0.331  0.669  0.250
Re  0.669  0.331  0.750
C  0.079  0.921  0.750
C  0.232  0.768  0.131
C  0.232  0.768  0.369
C  0.500  0.500  0.000
C  0.500  0.500  0.500
C  0.768  0.232  0.631
C  0.768  0.232  0.869
C  0.921  0.079  0.250

Values from the calculation:
E_form: -0.144 eV/atom
DOS(E_F): 5.52 states/eV per cell
Space-group type: Cmcm, No. 63

=====

Computed, not measured: a relaxed Ho2UReC4 crystal at the PBE level of DFT.

Unit cell a=6.159 b=6.159 c=12.157 alpha=90.00 beta=90.00 gamma=147.79
Positions (direct):
Ho  0.130  0.870  0.539
Ho  0.130  0.870  0.961
Ho  0.870  0.130  0.039
Ho  0.870  0.130  0.461
U  0.402  0.598  0.750
U  0.598  0.402  0.250
Re  0.337  0.663  0.250
Re  0.663  0.337  0.750
C  0.062  0.938  0.750
C  0.229  0.771  0.134
C  0.229  0.771  0.366
C  0.500  0.500  0.000
C  0.500  0.500  0.500
C  0.771  0.229  0.634
C  0.771  0.229  0.866
C  0.938  0.062  0.250

Values from the calculation:
E_form: 0.036 eV/atom
DOS(E_F): 14.09 states/eV per cell
Space-group type: Cmcm, No. 63